(1)
DFT (PBE) results for a relaxed structure of HfGaRh3.

```
10
Lattice="3.1275 -5.4101 0.0000 3.1275 5.4101 0.0000 0.0000 0.0000 4.8623" Properties=species:S:1:pos:R:3 pbc="T T T"
Hf 3.1275 3.6093 3.6467
Hf 3.1275 -3.6093 1.2156
Ga 3.1275 0.0000 0.0000
Ga 3.1275 0.0000 2.4311
Rh 1.3108 1.0458 3.6467
Rh 1.3108 -1.0458 1.2156
Rh 3.1275 2.0951 1.2156
Rh 3.1275 -2.0951 3.6467
Rh 4.9441 1.0458 3.6467
Rh 4.9441 -1.0458 1.2156
```

energy of formation	-0.392	eV/atom
ΔE to the lowest computed polymorph	0.000	eV per atom

***

(2)
DFT (PBE) results for a relaxed structure of NaErAs2O8.

```
12
Lattice="-3.5971 3.5971 3.2030 3.5971 -3.5971 3.2030 3.5971 3.5971 -3.2030" Properties=species:S:1:pos:R:3 pbc="T T T"
Na 0.0000 0.0000 0.0000
Er 0.0000 3.5971 1.6015
As 3.5971 0.0000 1.6015
As 0.0000 0.0000 3.2030
O 2.2945 0.0000 0.4760
O 4.8997 0.0000 0.4760
O 3.5971 2.2144 -1.0146
O 3.5971 -1.3026 2.7270
O 0.0000 1.3827 2.1884
O 3.5971 1.3026 2.7270
O 2.2144 3.5971 1.0146
O 1.3827 0.0000 4.2177
```

ΔE_f (raw)	-1.567	eV/atom

***

(3)
DFT (PBE) results for a relaxed structure of Nd3SbAs2Rh9.

```
15
Lattice="6.2957 0.0000 0.0000 -3.1478 5.4522 0.0000 0.0000 0.0000 9.2971" Properties=species:S:1:pos:R:3 pbc="T T T"
Nd 0.0000 0.0000 0.0000
Nd 0.0000 3.6348 6.7452
Nd 3.1478 1.8174 2.5519
Sb 0.0000 0.0000 4.6486
As 0.0000 3.6348 1.5698
As 3.1478 1.8174 7.7273
Rh -1.5739 2.7261 0.0000
Rh 0.0000 1.5636 2.5553
Rh -1.7937 4.6704 2.5553
Rh 1.3541 0.7818 6.7418
Rh 3.1478 0.0000 0.0000
Rh 1.5739 2.7261 0.0000
Rh 1.7937 4.6704 2.5553
Rh 4.9415 0.7818 6.7418
Rh 3.1478 3.8886 6.7418
```

ΔE_f (raw)	-0.451	eV/atom

***

(4)
DFT (PBE) results for a relaxed structure of Ac2PuCd2Sb4.

```
9
Lattice="8.2703 -2.3532 0.0000 8.2703 2.3532 0.0000 -2.5114 0.0000 7.0684" Properties=species:S:1:pos:R:3 pbc="T T T"
Ac 1.9159 0.0000 0.7372
Ac 12.1132 0.0000 6.3312
Pu -1.2557 0.0000 3.5342
Cd 4.3748 0.0000 3.6188
Cd 9.6542 0.0000 3.4496
Sb 1.6232 0.0000 5.1241
Sb 7.4356 0.0000 1.4936
Sb 6.5935 0.0000 5.5748
Sb 12.4059 0.0000 1.9443
```

ΔE_f (raw)	-0.654	eV/atom

***

(5)
DFT (PBE) results for a relaxed structure of CsRbNiI4.

```
14
Lattice="7.5874 0.0000 0.0000 0.0000 8.2130 0.0000 -3.4470 0.0000 10.4129" Properties=species:S:1:pos:R:3 pbc="T T T"
Cs 0.0805 2.0532 4.3644
Cs 4.0598 6.1597 6.0485
Rb 2.3747 6.1597 0.4586
Rb 1.7657 2.0532 9.9543
Ni -2.0448 2.0532 8.3205
Ni 6.1851 6.1597 2.0925
I 1.3364 2.0532 0.4770
I 0.5281 6.1597 3.7811
I -0.5761 0.0228 7.7120
I -0.5761 4.0836 7.7120
I 4.7165 4.1293 2.7009
I 4.7165 8.1901 2.7009
I 3.6123 2.0532 6.6318
I 2.8039 6.1597 9.9359
```

ΔE_f (raw)	-0.892	eV/atom

***

(6)
DFT (PBE) results for a relaxed structure of Fe4Ir15Pt.

```
20
Lattice="3.8485 0.0000 0.0000 0.0000 3.8485 0.0000 0.0000 0.0000 19.1392" Properties=species:S:1:pos:R:3 pbc="T T T"
Fe 0.0000 0.0000 1.9135
Fe 0.0000 0.0000 5.7460
Fe 0.0000 0.0000 13.3932
Fe 0.0000 0.0000 17.2257
Ir 0.0000 1.9243 0.0000
Ir 0.0000 1.9243 3.8040
Ir 0.0000 1.9243 7.5742
Ir 0.0000 1.9243 11.5650
Ir 0.0000 1.9243 15.3352
Ir 1.9243 0.0000 0.0000
Ir 1.9243 0.0000 3.8040
Ir 1.9243 0.0000 7.5742
Ir 1.9243 0.0000 11.5650
Ir 1.9243 0.0000 15.3352
Ir 1.9243 1.9243 1.9016
Ir 1.9243 1.9243 5.7042
Ir 1.9243 1.9243 9.5696
Ir 1.9243 1.9243 13.4350
Ir 1.9243 1.9243 17.2376
Pt 0.0000 0.0000 9.5696
```

energy of formation	-0.012	eV/atom